# Cs2In2Br7 (PBE, optimized geometry)
data_Cs2In2Br7
_symmetry_space_group_name_H-M 'P 1 21/c 1'
_symmetry_Int_Tables_number 14
_cell_length_a 6.655
_cell_length_b 17.676
_cell_length_c 9.389
_cell_angle_alpha 90.00
_cell_angle_beta 101.73
_cell_angle_gamma 90.00
loop_
_symmetry_equiv_pos_as_xyz
'x,y,z'
'-x,-y,-z'
'-x,y+1/2,-z+1/2'
'x,-y+1/2,z+1/2'
loop_
_atom_site_label
_atom_site_type_symbol
_atom_site_fract_x
_atom_site_fract_y
_atom_site_fract_z
Cs1 Cs 0.143 0.151 0.438
In1 In 0.307 0.607 0.634
Br1 Br 0.031 0.153 0.036
Br2 Br 0.225 0.552 0.876
Br3 Br 0.487 0.229 0.768
Br4 Br 0.500 0.000 0.000
# - Polymorph energy (0 for the lowest one): 0.000 eV/atom
# - Formation energy without anion corrections: -12.47 eV/f.u.
# - Total DFT energy (no corrections): -2.851 eV per atom